Entry 1:
Below is crystalline Hg4PbF12 at its relaxed geometry, with properties calculated at the PBE level.

Values from the calculation:
- Formation energy (no corrections): -1.437 eV per atom

a b c (Å): 8.736 8.736 8.736
angles (deg): 90.00 90.00 90.00
Space group Im-3 (No. 204)
Unique sites:
Hg1 0.250 0.250 0.250 x8
Pb1 0.000 0.000 0.000 x2
F1 0.000 0.191 0.255 x24



Entry 2:
Below is crystalline ZrAlZnCd at its relaxed geometry, with properties calculated at the PBE level.

Values from the calculation:
- Formation energy: -112 kJ/mol of formula units

a b c (Å): 4.081 4.195 4.329
angles (deg): 90.00 90.00 90.00
Space group Pmmm (No. 47)
Unique sites:
Zr1 0.000 0.000 0.000 x1
Al1 0.500 0.500 0.000 x1
Zn1 0.500 0.000 0.500 x1
Cd1 0.000 0.500 0.500 x1



Entry 3:
Below is crystalline ZrRe4Pt at its relaxed geometry, with properties calculated at the PBE level.

Values from the calculation:
- Formation energy: -25 kJ/mol of formula units

a b c (Å): 7.385 7.385 7.385
angles (deg): 90.00 90.00 90.00
Space group F-43m (No. 216)
Unique sites:
Zr1 0.000 0.000 0.000 x4
Re1 0.124 0.124 0.376 x16
Pt1 0.250 0.250 0.750 x4



Entry 4:
Below is crystalline KCeCdI6 at its relaxed geometry, with properties calculated at the PBE level.

Values from the calculation:
- Formation energy (no corrections): -1.103 eV per atom

a b c (Å): 7.9603 7.9603 15.6194
angles (deg): 90.00 90.00 120.00
Space group P-31c (No. 163)
Unique sites:
K1 0.0000 0.0000 0.0000 x2
Ce1 0.3333 0.6667 0.2500 x2
Cd1 0.3333 0.6667 0.7500 x2
I1 0.0110 0.3723 0.6354 x12